[1]
ErFePd6 | Alexandria via LeMat-Bulk | GGA-PBE | relaxed; formation enthalpy at 0 K = -480 meV/atom; magnetic moment = 4.17 μB per formula unit; SG = P4/mmm
1.0
4.009 0.000 0.000
0.000 4.009 0.000
0.000 0.000 7.970
Er Fe Pd
1 1 6
Direct
0.000 0.000 0.000
0.000 0.000 0.500
0.000 0.500 0.265
0.000 0.500 0.735
0.500 0.000 0.265
0.500 0.000 0.735
0.500 0.500 0.000
0.500 0.500 0.500

---

[2]
CePrTlI | Alexandria via LeMat-Bulk | GGA-PBE | relaxed; magnetic moment = 1.10 μB per formula unit; SG = F-43m; formation energy (no corrections) = -0.448 eV/atom
1.0
0.000 3.930 3.930
3.930 0.000 3.930
3.930 3.930 0.000
Ce Pr Tl I
1 1 1 1
Direct
0.000 0.000 0.000
0.500 0.500 0.500
0.250 0.250 0.250
0.750 0.750 0.750

---

[3]
RbSc2InMo | Alexandria via LeMat-Bulk | GGA-PBE | relaxed; formation enthalpy at 0 K = 1834 meV/atom; magnetic moment = 0.18 μB per formula unit; SG = P4/mmm
1.0
4.970 0.000 0.000
0.000 4.970 0.000
0.000 0.000 4.833
Rb Sc In Mo
1 2 1 1
Direct
0.000 0.000 0.000
0.000 0.500 0.000
0.500 0.000 0.000
0.500 0.500 0.500
0.000 0.000 0.500